Density functional theory data (PBE-GGA) for PmTm12Tl6 after structural relaxation.

POSCAR file:
```
PmTm12Tl6
1.0
6.921 3.996 3.680
-6.921 3.996 3.680
0.000 -7.992 3.680
Pm Tm Tl
1 12 6
direct
0.000 0.000 0.000
0.130 0.500 0.870
0.130 0.870 0.500
0.183 0.447 0.447
0.447 0.183 0.447
0.447 0.447 0.183
0.500 0.130 0.870
0.500 0.870 0.130
0.553 0.553 0.817
0.553 0.817 0.553
0.817 0.553 0.553
0.870 0.130 0.500
0.870 0.500 0.130
0.237 0.237 0.691
0.237 0.691 0.237
0.309 0.763 0.763
0.691 0.237 0.237
0.763 0.309 0.763
0.763 0.763 0.309
```

Values from the calculation:
Formation energy from the elements ... 12 meV per atom
DFT total energy ... -72.38 eV/cell
Volume ... 32.14 A^3/atom



Density functional theory data (PBE-GGA) for La12Ni6Sn after structural relaxation.

POSCAR file:
```
La12Ni6Sn
1.0
-5.122 5.122 5.122
5.122 -5.122 5.122
5.122 5.122 -5.122
La Ni Sn
12 6 1
direct
0.130 0.311 0.819
0.181 0.491 0.311
0.181 0.870 0.689
0.311 0.181 0.491
0.311 0.819 0.130
0.491 0.311 0.181
0.509 0.689 0.819
0.689 0.181 0.870
0.689 0.819 0.509
0.819 0.130 0.311
0.819 0.509 0.689
0.870 0.689 0.181
0.125 0.500 0.625
0.375 0.875 0.500
0.500 0.375 0.875
0.500 0.625 0.125
0.625 0.125 0.500
0.875 0.500 0.375
0.000 0.000 0.000
```

Values from the calculation:
Formation energy from the elements ... -332 meV per atom
DFT total energy ... -104.13 eV/cell
Volume ... 28.28 A^3/atom



Density functional theory data (PBE-GGA) for Sr2Ga4Ru after structural relaxation.

POSCAR file:
```
Sr2Ga4Ru
1.0
-2.389 2.389 8.097
2.389 -2.389 8.097
2.389 2.389 -8.097
Sr Ga Ru
2 4 1
direct
0.152 0.152 0.000
0.848 0.848 0.000
0.000 0.500 0.500
0.346 0.346 0.000
0.500 0.000 0.500
0.654 0.654 0.000
0.500 0.500 0.000
```

Values from the calculation:
Formation energy from the elements ... -306 meV per atom
DFT total energy ... -26.89 eV/cell
Volume ... 26.40 A^3/atom



Density functional theory data (PBE-GGA) for CsCaSbH2 after structural relaxation.

POSCAR file:
```
CsCaSbH2
1.0
3.703 0.000 0.000
1.841 3.222 0.000
0.009 0.014 9.693
Cs Ca Sb H
1 1 1 2
direct
0.000 0.000 0.000
0.000 0.994 0.620
0.667 0.665 0.331
0.333 0.329 0.621
0.667 0.665 0.784
```

Values from the calculation:
Energy above the most stable polymorph in this dataset ... 0.158 eV/atom
DFT total energy ... -14.89 eV/cell
Volume ... 23.13 A^3/atom



Q: What is the formula in the third record?
A: Sr2Ga4Ru



Q: Which of these has the highest volume?
A: PmTm12Tl6



Q: What is the DFT total energy in the fourth record?
A: -14.89 eV/cell